Run w
Below is YTa2Br after structural relaxation, with properties calculated at the PBEsol level.

Summary:
crystal system = monoclinic

Lattice parameters (Å, degrees): 3.2464 4.5804 5.6803 90.00 90.00 89.90
Element x y z (fractional)
Y1 0.0000 0.0000 0.5000
Br1 0.5000 0.5000 0.5000
Ta1 0.2644 0.2283 0.0000
Ta2 0.7356 0.7717 0.0000

***

Run x
Below is YTa2Br after structural relaxation, with properties calculated at the PBEsol level.

Summary:
crystal system = tetragonal

Lattice parameters (Å, degrees): 4.6401 4.9597 4.6401 117.89 90.00 117.89
Element x y z (fractional)
Y1 0.5000 0.0000 0.5000
Br1 0.7500 0.5000 0.2500
Ta1 0.0000 0.0000 0.0000
Ta2 0.2500 0.5000 0.7500

***

Run y
Below is YTa2Br after structural relaxation, with properties calculated at the PBEsol level.

Summary:
crystal system = trigonal

Lattice parameters (Å, degrees): 3.3546 3.3546 9.0720 79.35 79.35 60.00
Element x y z (fractional)
Y1 0.4999 0.4999 0.5003
Br1 0.2528 0.2528 0.2416
Ta1 0.0061 0.0061 0.9818
Ta2 0.7412 0.7412 0.7763

***

Run z
Below is YTa2Br after structural relaxation, with properties calculated at the PBEsol level.

Summary:
crystal system = orthorhombic

Lattice parameters (Å, degrees): 3.1966 4.5718 6.2435 111.48 104.83 90.00
Element x y z (fractional)
Y1 0.5000 0.0000 0.0000
Br1 0.0000 0.5000 0.0000
Ta1 0.7376 0.7376 0.4753
Ta2 0.2624 0.2624 0.5247

***

The structure with the least stability is run x.

***

Run w
Below is ZrTa2Br after structural relaxation, with properties calculated at the PBEsol level.

Summary:
crystal system = orthorhombic

Lattice parameters (Å, degrees): 3.0183 3.0183 9.0792 90.00 90.00 111.94
Element x y z (fractional)
Br1 0.5000 0.5000 0.0000
Zr1 0.5000 0.5000 0.5000
Ta1 0.0000 0.0000 0.2439
Ta2 0.0000 0.0000 0.7561

***

Run x
Below is ZrTa2Br after structural relaxation, with properties calculated at the PBEsol level.

Summary:
crystal system = orthorhombic

Lattice parameters (Å, degrees): 3.0031 5.4066 5.4019 120.03 90.00 90.00
Element x y z (fractional)
Br1 0.5000 0.5000 0.0000
Zr1 0.5000 0.0000 0.0000
Ta1 0.0000 0.5000 0.5000
Ta2 0.0000 0.0000 0.5000

***

The structure with the least stability is run x.

***

Run w
Below is TcBr3 after structural relaxation, with properties calculated at the PBEsol level.

Summary:
crystal system = hexagonal

Lattice parameters (Å, degrees): 5.9719 6.5414 6.5414 120.00 90.00 90.00
Element x y z (fractional)
Tc1 0.0000 0.0000 0.0000
Tc2 0.5000 0.0000 0.0000
Br1 0.7500 0.6938 0.0000
Br2 0.2500 0.3062 0.0000
Br3 0.7500 0.3062 0.3062
Br4 0.7500 0.0000 0.6938
Br5 0.2500 0.6938 0.6938
Br6 0.2500 0.0000 0.3062

***

Run x
Below is TcBr3 after structural relaxation, with properties calculated at the PBEsol level.

Summary:
crystal system = orthorhombic

Lattice parameters (Å, degrees): 5.8912 6.5826 11.3501 90.00 90.00 90.00
Element x y z (fractional)
Br1 0.5000 0.0816 0.0000
Br2 0.0000 0.9184 0.5000
Br3 0.0000 0.4669 0.0000
Br4 0.5000 0.5331 0.5000
Br5 0.5000 0.5986 0.8367
Br6 0.5000 0.5986 0.1633
Br7 0.0000 0.4014 0.6633
Br8 0.0000 0.4014 0.3367
Br9 0.0000 0.9036 0.8537
Br10 0.0000 0.9036 0.1463
Br11 0.5000 0.0964 0.6463
Br12 0.5000 0.0964 0.3537
Tc1 0.2787 0.7583 0.0000
Tc2 0.7213 0.7583 0.0000
Tc3 0.7787 0.2417 0.5000
Tc4 0.2213 0.2417 0.5000

***

Run y
Below is TcBr3 after structural relaxation, with properties calculated at the PBEsol level.

Summary:
crystal system = orthorhombic

Lattice parameters (Å, degrees): 3.3458 5.1790 5.1790 90.06 90.00 90.00
Element x y z (fractional)
Tc1 0.0000 0.0000 0.0000
Br1 0.5000 0.0000 0.5000
Br2 0.5000 0.5000 0.0000
Br3 0.0000 0.5000 0.5000

***

The structure with the least stability is run y.

***

Run w
Below is TcTeBr2 after structural relaxation, with properties calculated at the PBEsol level.

Summary:
crystal system = orthorhombic

Lattice parameters (Å, degrees): 3.2087 4.8690 6.6141 111.60 104.04 90.00
Element x y z (fractional)
Te1 0.1734 0.6734 0.3469
Tc1 0.5039 0.5039 0.0077
Br1 0.0028 0.0028 0.0055
Br2 0.8199 0.3199 0.6399

***

Run x
Below is TcTeBr2 after structural relaxation, with properties calculated at the PBEsol level.

Summary:
crystal system = tetragonal

Lattice parameters (Å, degrees): 3.1310 3.1310 9.2678 90.00 90.00 90.00
Element x y z (fractional)
Te1 0.5000 0.5000 0.6771
Tc1 0.0000 0.0000 0.5020
Br1 0.0000 0.0000 0.9984
Br2 0.5000 0.5000 0.3225

***

Run y
Below is TcTeBr2 after structural relaxation, with properties calculated at the PBEsol level.

Summary:
crystal system = cubic

Lattice parameters (Å, degrees): 4.8892 4.8892 4.8892 60.00 60.00 60.00
Element x y z (fractional)
Te1 0.7500 0.7500 0.7500
Tc1 0.5000 0.5000 0.5000
Br1 0.0000 0.0000 0.0000
Br2 0.2500 0.2500 0.2500

***

The structure with the least stability is run y.

***

Run w
Below is TcTe2Br after structural relaxation, with properties calculated at the PBEsol level.

Summary:
crystal system = tetragonal

Lattice parameters (Å, degrees): 3.5291 3.5291 7.5251 90.00 90.00 90.00
Element x y z (fractional)
Te1 0.0000 0.0000 0.9484
Te2 0.5000 0.5000 0.1946
Tc1 0.5000 0.5000 0.8138
Br1 0.0000 0.0000 0.5432

***

Run x
Below is TcTe2Br after structural relaxation, with properties calculated at the PBEsol level.

Summary:
crystal system = orthorhombic

Lattice parameters (Å, degrees): 3.3095 4.8113 6.8713 110.49 103.94 90.00
Element x y z (fractional)
Te1 0.9111 0.9111 0.8222
Te2 0.7657 0.2657 0.5314
Tc1 0.2459 0.7459 0.4918
Br1 0.5773 0.5773 0.1547

***

The structure with the least stability is run w.

***

Run w
Below is Tc2WBr after structural relaxation, with properties calculated at the PBEsol level.

Summary:
crystal system = orthorhombic

Lattice parameters (Å, degrees): 2.9319 4.4470 4.6126 90.00 90.00 90.00
Element x y z (fractional)
Br1 0.0000 0.5000 0.5000
Tc1 0.0000 0.0000 0.0000
Tc2 0.5000 0.0000 0.5000
W1 0.5000 0.5000 0.0000

***

Run x
Below is Tc2WBr after structural relaxation, with properties calculated at the PBEsol level.

Summary:
crystal system = monoclinic

Lattice parameters (Å, degrees): 2.9662 4.3532 5.1106 92.91 106.87 90.00
Element x y z (fractional)
Br1 0.2471 0.7608 0.4942
Tc1 0.0301 0.0335 0.0603
Tc2 0.7540 0.2346 0.5080
W1 0.4688 0.4712 0.9375

***

The structure with the least stability is run w.

***

Run w
Below is Tc2WBr after structural relaxation, with properties calculated at the PBEsol level.

Summary:
crystal system = tetragonal

Lattice parameters (Å, degrees): 3.0019 4.4907 4.4907 90.00 90.00 90.00
Element x y z (fractional)
Br1 0.5000 0.0000 0.0000
Tc1 0.0000 0.0000 0.5000
Tc2 0.0000 0.5000 0.0000
W1 0.5000 0.5000 0.5000

***

Run x
Below is Tc2WBr after structural relaxation, with properties calculated at the PBEsol level.

Summary:
crystal system = trigonal

Lattice parameters (Å, degrees): 2.8771 2.8771 8.7595 80.55 80.55 60.00
Element x y z (fractional)
Br1 0.2490 0.2490 0.2531
Tc1 0.0035 0.0035 0.9895
Tc2 0.7473 0.7473 0.7581
W1 0.5002 0.5002 0.4994

***

The structure with the least stability is run w.

***

Run w
Below is TcWBr after structural relaxation, with properties calculated at the PBEsol level.

Summary:
crystal system = trigonal

Lattice parameters (Å, degrees): 2.9563 4.2687 4.2687 120.00 90.00 90.00
Element x y z (fractional)
Br1 0.0266 0.0000 0.0000
Tc1 0.7443 0.3333 0.6667
W1 0.2291 0.6667 0.3333

***

Run x
Below is TcWBr after structural relaxation, with properties calculated at the PBEsol level.

Summary:
crystal system = trigonal

Lattice parameters (Å, degrees): 3.2970 3.2970 6.0235 90.00 90.00 120.00
Element x y z (fractional)
Br1 0.0000 0.0000 0.0037
Tc1 0.3333 0.6667 0.6188
W1 0.6667 0.3333 0.3775

***

The structure with the least stability is run w.

***

Run w
Below is TcWBr2 after structural relaxation, with properties calculated at the PBEsol level.

Summary:
crystal system = tetragonal

Lattice parameters (Å, degrees): 4.2250 4.8406 4.2250 64.12 90.00 115.88
Element x y z (fractional)
Br1 0.0000 0.0000 0.0000
Br2 0.2500 0.5000 0.2500
Tc1 0.5000 0.0000 0.5000
W1 0.7500 0.5000 0.7500

***

Run x
Below is TcWBr2 after structural relaxation, with properties calculated at the PBEsol level.

Summary:
crystal system = orthorhombic

Lattice parameters (Å, degrees): 2.8872 3.0841 8.9250 90.00 90.00 117.91
Element x y z (fractional)
Br1 0.0000 0.0000 0.7392
Br2 0.0000 0.0000 0.2608
Tc1 0.5000 0.0000 0.5000
W1 0.5000 0.0000 0.0000

***

The structure with the least stability is run w.

***

Run w
Below is YTcBr2 after structural relaxation, with properties calculated at the PBEsol level.

Summary:
crystal system = tetragonal

Lattice parameters (Å, degrees): 3.4749 3.4749 6.7348 90.00 90.00 90.00
Element x y z (fractional)
Y1 0.5000 0.5000 0.5000
Tc1 0.5000 0.5000 0.0000
Br1 0.0000 0.0000 0.7449
Br2 0.0000 0.0000 0.2551

***

Run x
Below is YTcBr2 after structural relaxation, with properties calculated at the PBEsol level.

Summary:
crystal system = tetragonal

Lattice parameters (Å, degrees): 3.7021 3.7021 6.7221 90.00 90.00 90.00
Element x y z (fractional)
Y1 0.5000 0.5000 0.7319
Tc1 0.0000 0.0000 0.5302
Br1 0.0000 0.0000 0.9224
Br2 0.5000 0.5000 0.3155

***

The structure with the least stability is run w.

***

Run w
Below is Zn2TcBr after structural relaxation, with properties calculated at the PBEsol level.

Summary:
crystal system = orthorhombic

Lattice parameters (Å, degrees): 2.9367 4.4119 4.8439 90.00 90.00 90.00
Element x y z (fractional)
Br1 0.5000 0.0000 0.5000
Tc1 0.0000 0.5000 0.5000
Zn1 0.0000 0.0000 0.0000
Zn2 0.5000 0.5000 0.0000

***

Run x
Below is Zn2TcBr after structural relaxation, with properties calculated at the PBEsol level.

Summary:
crystal system = orthorhombic

Lattice parameters (Å, degrees): 2.9849 2.9849 7.9953 90.00 90.00 110.22
Element x y z (fractional)
Br1 0.5000 0.5000 0.5000
Tc1 0.5000 0.5000 0.0000
Zn1 0.0000 0.0000 0.2306
Zn2 0.0000 0.0000 0.7694

***

Run y
Below is Zn2TcBr after structural relaxation, with properties calculated at the PBEsol level.

Summary:
crystal system = tetragonal

Lattice parameters (Å, degrees): 3.7326 3.7326 5.1673 111.17 111.17 90.00
Element x y z (fractional)
Br1 0.5000 0.5000 0.0000
Tc1 0.0000 0.0000 0.0000
Zn1 0.7500 0.2500 0.5000
Zn2 0.2500 0.7500 0.5000

***

Run z
Below is Zn2TcBr after structural relaxation, with properties calculated at the PBEsol level.

Summary:
crystal system = tetragonal

Lattice parameters (Å, degrees): 3.1882 4.4571 4.4571 90.00 90.00 90.00
Element x y z (fractional)
Br1 0.5000 0.5000 0.5000
Tc1 0.5000 0.0000 0.0000
Zn1 0.0000 0.0000 0.5000
Zn2 0.0000 0.5000 0.0000

***

The structure with the least stability is run y.